(1)
An optimized crystal structure of SrHgOs2Pb. Source: Alexandria via LeMat-Bulk, functional PBE.

a = 5.0716 Å, b = 5.6743 Å, c = 5.0716 Å
α = 90.00°, β = 90.00°, γ = 90.00°
Last column: nearest neighbours and their distance in Å.
Fractional positions:
Sr1 0.0000 0.0000 0.0000  4 Os 2.54, 2 Hg 2.84
Pb1 0.5000 0.5000 0.5000  4 Hg 3.59, 8 Os 3.81
Os1 0.0000 0.0000 0.5000  2 Sr 2.54
Os2 0.5000 0.0000 0.0000  2 Sr 2.54
Hg1 0.0000 0.5000 0.0000  2 Sr 2.84

Crystal system: tetragonal
Spin magnetization in μB/f.u.: 1.959
D(E_F) in states/eV/f.u.: 8.08
Formation enthalpy at 0 K in meV/atom: 2418



(2)
An optimized crystal structure of PrZr3N4. Source: Alexandria via LeMat-Bulk, functional PBE.

a = 3.3311 Å, b = 3.3311 Å, c = 22.2445 Å
α = 90.00°, β = 90.00°, γ = 120.00°
Last column: nearest neighbours and their distance in Å.
Fractional positions:
N1 0.6667 0.3333 0.9411  6 Zr 2.33-2.34
N2 0.0000 0.0000 0.3267  3 Zr 2.27
N3 0.0000 0.0000 0.8267  3 Zr 2.27
N4 0.0000 0.0000 0.6733  3 Zr 2.27
N5 0.0000 0.0000 0.1733  3 Zr 2.27
N6 0.3333 0.6667 0.0589  6 Zr 2.33-2.34
N7 0.6667 0.3333 0.5589  6 Zr 2.33-2.34
N8 0.3333 0.6667 0.4411  6 Zr 2.33-2.34
Pr1 0.3333 0.6667 0.2500  6 N 2.57
Pr2 0.6667 0.3333 0.7500  6 N 2.57
Zr1 0.0000 0.0000 0.0000  6 N 2.33
Zr2 0.3333 0.6667 0.8813  6 N 2.27-2.34
Zr3 0.3333 0.6667 0.6187  6 N 2.27-2.34
Zr4 0.0000 0.0000 0.5000  6 N 2.33
Zr5 0.6667 0.3333 0.1187  6 N 2.27-2.34
Zr6 0.6667 0.3333 0.3813  6 N 2.27-2.34

Crystal system: hexagonal
Spin magnetization in μB/f.u.: 0.000
D(E_F) in states/eV/f.u.: 2.09
Formation energy without anion corrections in eV per atom: -1.582



(3)
An optimized crystal structure of CaNd3Er3Se8. Source: Alexandria via LeMat-Bulk, functional PBE.

a = 8.2100 Å, b = 8.2103 Å, c = 8.3010 Å
α = 119.64°, β = 90.00°, γ = 120.00°
Last column: nearest neighbours and their distance in Å.
Fractional positions:
Se1 0.7480 0.4959 0.2592  2 Er 2.85, 1 Ca 2.94, 2 Nd 2.99
Se2 0.2520 0.5041 0.7408  2 Er 2.85, 1 Ca 2.94, 2 Nd 2.99
Se3 0.7482 0.0111 0.2589  2 Er 2.85-2.86, 1 Ca 2.94, 2 Nd 2.98-2.99
Se4 0.7371 0.9889 0.7411  2 Er 2.85-2.86, 1 Ca 2.94, 2 Nd 2.98-2.99
Se5 0.2629 0.0111 0.2589  2 Er 2.85-2.86, 1 Ca 2.94, 2 Nd 2.98-2.99
Se6 0.7446 0.4892 0.7336  3 Er 2.85-2.86, 3 Nd 2.99
Se7 0.2518 0.9889 0.7411  2 Er 2.85-2.86, 1 Ca 2.94, 2 Nd 2.98-2.99
Se8 0.2554 0.5108 0.2664  3 Er 2.85-2.86, 3 Nd 2.99
Nd1 0.0000 0.0000 0.0000  6 Se 2.98-2.99
Nd2 0.0000 0.5000 0.0000  6 Se 2.99
Nd3 0.5000 0.5000 0.0000  6 Se 2.99
Er1 0.0000 0.5000 0.5000  6 Se 2.85
Er2 0.5000 0.0000 0.5000  6 Se 2.86
Er3 0.5000 0.5000 0.5000  6 Se 2.85
Ca1 0.0000 0.0000 0.5000  6 Se 2.94

Crystal system: trigonal
Spin magnetization in μB/f.u.: 0.000
D(E_F) in states/eV/f.u.: 2.98
Formation energy without anion corrections in eV per atom: -1.865